1.
# Ba8MgTl2

A relaxed Ba8MgTl2 crystal (GGA-PBE, Alexandria via LeMat-Bulk).

SG: C2/m (12)
Excess energy over the best structure of this formula in the dataset (eV/atom): 0.000
Energy relative to the elements (kJ/mol of formula units): -177.5
DFT total energy (eV/cell): -23.55

Unit cell a=6.107 b=8.609 c=11.220 alpha=108.37 beta=105.79 gamma=90.00
Element x y z (fractional)
Ba 0.599 0.455 0.199
Ba 0.032 0.783 0.065
Ba 0.331 0.039 0.662
Ba 0.198 0.303 0.397
Ba 0.802 0.697 0.603
Ba 0.968 0.217 0.935
Ba 0.669 0.961 0.338
Ba 0.401 0.545 0.801
Mg 0.500 0.000 0.000
Tl 0.185 0.700 0.369
Tl 0.815 0.300 0.631

***

2.
# Ba2MgTl

A relaxed Ba2MgTl crystal (GGA-PBE, Alexandria via LeMat-Bulk).

SG: I-4m2 (119)
Energy relative to the elements (kJ/mol of formula units): -42.3
DFT total energy (eV/cell): -8.24

Unit cell a=6.487 b=6.487 c=6.487 alpha=130.90 beta=130.90 gamma=71.97
Element x y z (fractional)
Mg 0.500 0.500 0.000
Ba 0.250 0.750 0.500
Ba 0.000 0.000 0.000
Tl 0.750 0.250 0.500

***

3.
# Ba2Mg3Tl4

A relaxed Ba2Mg3Tl4 crystal (GGA-PBE, Alexandria via LeMat-Bulk).

SG: Cmce (64)
Energy relative to the elements (kJ/mol of formula units): -208.1
DFT total energy (eV/cell): -40.50

Unit cell a=6.607 b=9.323 c=9.720 alpha=90.00 beta=109.87 gamma=90.00
Element x y z (fractional)
Tl 0.685 0.515 0.370
Tl 0.194 0.750 0.887
Tl 0.694 0.750 0.887
Tl 0.306 0.250 0.113
Tl 0.185 0.985 0.370
Tl 0.815 0.015 0.630
Tl 0.806 0.250 0.113
Tl 0.315 0.485 0.630
Mg 0.030 0.750 0.559
Mg 0.530 0.750 0.559
Mg 0.470 0.250 0.441
Mg 0.500 0.500 0.000
Mg 0.970 0.250 0.441
Mg 0.000 0.000 0.000
Ba 0.109 0.593 0.217
Ba 0.891 0.407 0.783
Ba 0.609 0.907 0.217
Ba 0.391 0.093 0.783

***

4.
# Ba6Mg3Tl

A relaxed Ba6Mg3Tl crystal (GGA-PBE, Alexandria via LeMat-Bulk).

SG: P2_1/m (11)
Energy relative to the elements (kJ/mol of formula units): -87.7
DFT total energy (eV/cell): -39.19

Unit cell a=6.263 b=10.730 c=14.241 alpha=111.55 beta=90.00 gamma=90.00
Element x y z (fractional)
Mg 0.750 0.479 0.646
Mg 0.250 0.521 0.354
Mg 0.750 0.240 0.040
Mg 0.250 0.760 0.960
Mg 0.250 0.422 0.782
Mg 0.750 0.578 0.218
Ba 0.750 0.339 0.345
Ba 0.750 0.509 0.917
Ba 0.750 0.883 0.137
Ba 0.250 0.117 0.863
Ba 0.750 0.758 0.495
Ba 0.250 0.491 0.083
Ba 0.250 0.661 0.655
Ba 0.250 0.142 0.159
Ba 0.250 0.846 0.324
Ba 0.750 0.154 0.676
Ba 0.250 0.242 0.505
Ba 0.750 0.858 0.841
Tl 0.750 0.044 0.401
Tl 0.250 0.956 0.599